i:
## GdHoGe2Pt4 (PBE)

Data for a relaxed GdHoGe2Pt4 crystal.

Structure (CIF):
```
data_GdHoGe2Pt4
_chemical_formula_sum 'Gd2 Ho2 Ge4 Pt8'
_cell_length_a 7.198
_cell_length_b 3.951
_cell_length_c 10.334
_cell_angle_alpha 90.00
_cell_angle_beta 90.00
_cell_angle_gamma 90.00
_space_group_name_H-M_alt 'A m m 2'
_space_group_IT_number 38
_space_group_name_Hall 'A 2 -2'
loop_
_atom_site_label
_atom_site_type_symbol
_atom_site_fract_x
_atom_site_fract_y
_atom_site_fract_z
_atom_site_occupancy
Gd1 Gd 0.000 0.000 0.000 1
Ho1 Ho 0.500 0.000 0.103 1
Ge1 Ge 0.000 0.000 0.284 1
Ge2 Ge 0.500 0.000 0.819 1
Pt1 Pt 0.200 0.000 0.688 1
Pt2 Pt 0.302 0.000 0.416 1
```

***

ii:
## GdHoGe2Pt4 (PBE)

Data for a relaxed GdHoGe2Pt4 crystal.

Structure (CIF):
```
data_GdHoGe2Pt4
_chemical_formula_sum 'Gd1 Ho1 Ge2 Pt4'
_cell_length_a 4.3839
_cell_length_b 4.3839
_cell_length_c 9.1434
_cell_angle_alpha 90.00
_cell_angle_beta 90.00
_cell_angle_gamma 120.00
_space_group_name_H-M_alt 'P -6 m 2'
_space_group_IT_number 187
_space_group_name_Hall 'P -6 2'
loop_
_atom_site_label
_atom_site_type_symbol
_atom_site_fract_x
_atom_site_fract_y
_atom_site_fract_z
_atom_site_occupancy
Gd1 Gd 0.0000 0.0000 0.0000 1
Ho1 Ho 0.3333 0.6667 0.5000 1
Ge1 Ge 0.6667 0.3333 0.2514 1
Pt1 Pt 0.0000 0.0000 0.3364 1
Pt2 Pt 0.3333 0.6667 0.1681 1
```

***

Relative calculated energies, zero for the most stable structure, unit eV/atom: i 0.000; ii 0.059.

***

i:
## GdInGe (PBE)

Data for a relaxed GdInGe crystal.

Structure (CIF):
```
data_GdInGe
_chemical_formula_sum 'Gd3 In3 Ge3'
_cell_length_a 7.4512
_cell_length_b 7.4512
_cell_length_c 4.6389
_cell_angle_alpha 90.00
_cell_angle_beta 90.00
_cell_angle_gamma 120.00
_space_group_name_H-M_alt 'P -6 2 m'
_space_group_IT_number 189
_space_group_name_Hall 'P -6 -2'
loop_
_atom_site_label
_atom_site_type_symbol
_atom_site_fract_x
_atom_site_fract_y
_atom_site_fract_z
_atom_site_occupancy
Gd1 Gd 0.0000 0.5678 0.0000 1
In1 In 0.0000 0.0000 0.0000 1
In2 In 0.3333 0.6667 0.5000 1
Ge1 Ge 0.0000 0.2443 0.5000 1
```

***

ii:
## GdInGe (PBE)

Data for a relaxed GdInGe crystal.

Structure (CIF):
```
data_GdInGe
_chemical_formula_sum 'Gd4 In4 Ge4'
_cell_length_a 6.825
_cell_length_b 6.825
_cell_length_c 6.825
_cell_angle_alpha 90.00
_cell_angle_beta 90.00
_cell_angle_gamma 90.00
_space_group_name_H-M_alt 'F -4 3 m'
_space_group_IT_number 216
_space_group_name_Hall 'F -4 2 3'
loop_
_atom_site_label
_atom_site_type_symbol
_atom_site_fract_x
_atom_site_fract_y
_atom_site_fract_z
_atom_site_occupancy
Gd1 Gd 0.000 0.000 0.000 1
In1 In 0.000 0.000 0.500 1
Ge1 Ge 0.250 0.250 0.250 1
```

***

Relative calculated energies, zero for the most stable structure, unit eV/atom: i 0.000; ii 0.007.

***

i:
## GdNi2Ge (PBE)

Data for a relaxed GdNi2Ge crystal.

Structure (CIF):
```
data_GdNi2Ge
_chemical_formula_sum 'Gd2 Ni4 Ge2'
_cell_length_a 4.302
_cell_length_b 4.483
_cell_length_c 7.150
_cell_angle_alpha 90.00
_cell_angle_beta 90.00
_cell_angle_gamma 90.00
_space_group_name_H-M_alt 'P m c 21'
_space_group_IT_number 26
_space_group_name_Hall 'P 2c -2'
loop_
_atom_site_label
_atom_site_type_symbol
_atom_site_fract_x
_atom_site_fract_y
_atom_site_fract_z
_atom_site_occupancy
Gd1 Gd 0.000 0.075 0.000 1
Ni1 Ni 0.000 0.496 0.252 1
Ni2 Ni 0.500 0.230 0.322 1
Ge1 Ge 0.500 0.290 0.676 1
```

***

ii:
## GdNi2Ge (PBE)

Data for a relaxed GdNi2Ge crystal.

Structure (CIF):
```
data_GdNi2Ge
_chemical_formula_sum 'Gd2 Ni4 Ge2'
_cell_length_a 4.060
_cell_length_b 5.903
_cell_length_c 5.508
_cell_angle_alpha 90.00
_cell_angle_beta 90.00
_cell_angle_gamma 90.00
_space_group_name_H-M_alt 'P m n 21'
_space_group_IT_number 31
_space_group_name_Hall 'P 2ac -2'
loop_
_atom_site_label
_atom_site_type_symbol
_atom_site_fract_x
_atom_site_fract_y
_atom_site_fract_z
_atom_site_occupancy
Gd1 Gd 0.000 0.096 0.000 1
Ni1 Ni 0.000 0.288 0.490 1
Ni2 Ni 0.000 0.638 0.744 1
Ge1 Ge 0.000 0.615 0.214 1
```

***

iii:
## GdNi2Ge (PBE)

Data for a relaxed GdNi2Ge crystal.

Structure (CIF):
```
data_GdNi2Ge
_chemical_formula_sum 'Gd2 Ni4 Ge2'
_cell_length_a 5.247
_cell_length_b 4.097
_cell_length_c 6.645
_cell_angle_alpha 90.00
_cell_angle_beta 107.72
_cell_angle_gamma 90.00
_space_group_name_H-M_alt 'P 1 21/m 1'
_space_group_IT_number 11
_space_group_name_Hall '-P 2yb'
loop_
_atom_site_label
_atom_site_type_symbol
_atom_site_fract_x
_atom_site_fract_y
_atom_site_fract_z
_atom_site_occupancy
Gd1 Gd 0.249 0.250 0.249 1
Ni1 Ni 0.154 0.750 0.547 1
Ni2 Ni 0.347 0.750 0.951 1
Ge1 Ge 0.254 0.250 0.747 1
```

***

Relative calculated energies, zero for the most stable structure, unit eV/atom: i 0.137; ii 0.044; iii 0.000.

***

i:
## GdGePO (PBE)

Data for a relaxed GdGePO crystal.

Structure (CIF):
```
data_GdGePO
_chemical_formula_sum 'Gd6 Ge6 P6 O6'
_cell_length_a 3.7744
_cell_length_b 3.7744
_cell_length_c 36.6075
_cell_angle_alpha 90.00
_cell_angle_beta 90.00
_cell_angle_gamma 120.00
_space_group_name_H-M_alt 'R -3 m'
_space_group_IT_number 166
_space_group_name_Hall '-R 3 2"'
loop_
_atom_site_label
_atom_site_type_symbol
_atom_site_fract_x
_atom_site_fract_y
_atom_site_fract_z
_atom_site_occupancy
Gd1 Gd 0.0000 0.0000 0.1265 1
Ge1 Ge 0.0000 0.0000 0.2973 1
P1 P 0.0000 0.0000 0.4033 1
O1 O 0.0000 0.0000 0.1901 1
```

***

ii:
## GdGePO (PBE)

Data for a relaxed GdGePO crystal.

Structure (CIF):
```
data_GdGePO
_chemical_formula_sum 'Gd2 Ge2 P2 O2'
_cell_length_a 3.767
_cell_length_b 6.108
_cell_length_c 6.920
_cell_angle_alpha 90.00
_cell_angle_beta 90.00
_cell_angle_gamma 90.00
_space_group_name_H-M_alt 'P m c 21'
_space_group_IT_number 26
_space_group_name_Hall 'P 2c -2'
loop_
_atom_site_label
_atom_site_type_symbol
_atom_site_fract_x
_atom_site_fract_y
_atom_site_fract_z
_atom_site_occupancy
Gd1 Gd 0.000 0.232 0.000 1
Ge1 Ge 0.500 0.383 0.594 1
P1 P 0.000 0.233 0.420 1
O1 O 0.500 0.226 0.831 1
```

***

iii:
## GdGePO (PBE)

Data for a relaxed GdGePO crystal.

Structure (CIF):
```
data_GdGePO
_chemical_formula_sum 'Gd2 Ge2 P2 O2'
_cell_length_a 5.608
_cell_length_b 5.608
_cell_length_c 4.781
_cell_angle_alpha 90.00
_cell_angle_beta 90.00
_cell_angle_gamma 90.00
_space_group_name_H-M_alt 'P 4/n m m'
_space_group_IT_number 129
loop_
_space_group_symop_operation_xyz
'x,y,z'
'-x,-y,-z'
'-y+1/2,x,z'
'y+1/2,-x,-z'
'-x+1/2,-y+1/2,z'
'x+1/2,y+1/2,-z'
'y,-x+1/2,z'
'-y,x+1/2,-z'
'x+1/2,-y,-z'
'-x+1/2,y,z'
'-y,-x,-z'
'y,x,z'
'-x,y+1/2,-z'
'x,-y+1/2,z'
'y+1/2,x+1/2,-z'
'-y+1/2,-x+1/2,z'
loop_
_atom_site_label
_atom_site_type_symbol
_atom_site_fract_x
_atom_site_fract_y
_atom_site_fract_z
_atom_site_occupancy
Gd1 Gd 0.250 0.750 0.000 1
Ge1 Ge 0.250 0.250 0.496 1
P1 P 0.250 0.250 0.995 1
O1 O 0.250 0.750 0.500 1
```

***

Relative calculated energies, zero for the most stable structure, unit eV/atom: i 0.000; ii 0.324; iii 0.605.

***

i:
## GdGePb (PBE)

Data for a relaxed GdGePb crystal.

Structure (CIF):
```
data_GdGePb
_chemical_formula_sum 'Gd4 Ge4 Pb4'
_cell_length_a 7.047
_cell_length_b 7.047
_cell_length_c 7.047
_cell_angle_alpha 90.00
_cell_angle_beta 90.00
_cell_angle_gamma 90.00
_space_group_name_H-M_alt 'F -4 3 m'
_space_group_IT_number 216
_space_group_name_Hall 'F -4 2 3'
loop_
_atom_site_label
_atom_site_type_symbol
_atom_site_fract_x
_atom_site_fract_y
_atom_site_fract_z
_atom_site_occupancy
Gd1 Gd 0.000 0.000 0.000 1
Ge1 Ge 0.250 0.250 0.250 1
Pb1 Pb 0.000 0.000 0.500 1
```

***

ii:
## GdGePb (PBE)

Data for a relaxed GdGePb crystal.

Structure (CIF):
```
data_GdGePb
_chemical_formula_sum 'Gd4 Ge4 Pb4'
_cell_length_a 7.126
_cell_length_b 7.126
_cell_length_c 7.126
_cell_angle_alpha 90.00
_cell_angle_beta 90.00
_cell_angle_gamma 90.00
_space_group_name_H-M_alt 'F -4 3 m'
_space_group_IT_number 216
_space_group_name_Hall 'F -4 2 3'
loop_
_atom_site_label
_atom_site_type_symbol
_atom_site_fract_x
_atom_site_fract_y
_atom_site_fract_z
_atom_site_occupancy
Gd1 Gd 0.000 0.000 0.000 1
Ge1 Ge 0.250 0.250 0.750 1
Pb1 Pb 0.250 0.250 0.250 1
```

***

Relative calculated energies, zero for the most stable structure, unit eV/atom: i 0.000; ii 0.149.

***

i:
## GdTcGe (PBE)

Data for a relaxed GdTcGe crystal.

Structure (CIF):
```
data_GdTcGe
_chemical_formula_sum 'Gd4 Tc4 Ge4'
_cell_length_a 6.364
_cell_length_b 6.364
_cell_length_c 6.364
_cell_angle_alpha 90.00
_cell_angle_beta 90.00
_cell_angle_gamma 90.00
_space_group_name_H-M_alt 'F -4 3 m'
_space_group_IT_number 216
_space_group_name_Hall 'F -4 2 3'
loop_
_atom_site_label
_atom_site_type_symbol
_atom_site_fract_x
_atom_site_fract_y
_atom_site_fract_z
_atom_site_occupancy
Gd1 Gd 0.000 0.000 0.000 1
Tc1 Tc 0.000 0.000 0.500 1
Ge1 Ge 0.250 0.250 0.250 1
```

***

ii:
## GdTcGe (PBE)

Data for a relaxed GdTcGe crystal.

Structure (CIF):
```
data_GdTcGe
_chemical_formula_sum 'Gd4 Tc4 Ge4'
_cell_length_a 6.586
_cell_length_b 6.586
_cell_length_c 6.586
_cell_angle_alpha 90.00
_cell_angle_beta 90.00
_cell_angle_gamma 90.00
_space_group_name_H-M_alt 'F -4 3 m'
_space_group_IT_number 216
_space_group_name_Hall 'F -4 2 3'
loop_
_atom_site_label
_atom_site_type_symbol
_atom_site_fract_x
_atom_site_fract_y
_atom_site_fract_z
_atom_site_occupancy
Gd1 Gd 0.000 0.000 0.000 1
Tc1 Tc 0.250 0.250 0.250 1
Ge1 Ge 0.250 0.250 0.750 1
```

***

Relative calculated energies, zero for the most stable structure, unit eV/atom: i 0.000; ii 0.882.